# GGA+U Ac2BiMoO6, optimized geometry
data_Ac2BiMoO6
_chemical_formula_sum 'Ac2 Bi1 Mo1 O6'
_space_group_name_H-M_alt 'P 4 m m'
_space_group_IT_number 99
_cell_length_a 5.710
_cell_length_b 5.710
_cell_length_c 5.613
_cell_angle_alpha 90.00
_cell_angle_beta 90.00
_cell_angle_gamma 90.00
loop_
_space_group_symop_operation_xyz
'x,y,z'
'-y,x,z'
'-x,-y,z'
'y,-x,z'
'-x,y,z'
'y,x,z'
'x,-y,z'
'-y,-x,z'
loop_
_atom_site_label
_atom_site_type_symbol
_atom_site_fract_x
_atom_site_fract_y
_atom_site_fract_z
Ac1 Ac 0.000 0.500 0.000
Bi1 Bi 0.000 0.000 0.533
Mo1 Mo 0.500 0.500 0.587
O1 O 0.000 0.000 0.136
O2 O 0.269 0.269 0.753
O3 O 0.500 0.500 0.259
# VASP energy: -6.96 eV/atom

---

# GGA+U AcBi2MoO8, optimized geometry
data_AcBi2MoO8
_chemical_formula_sum 'Ac1 Bi2 Mo1 O8'
_space_group_name_H-M_alt 'P 1 2/m 1'
_space_group_IT_number 10
_cell_length_a 5.214
_cell_length_b 7.087
_cell_length_c 5.222
_cell_angle_alpha 90.00
_cell_angle_beta 91.49
_cell_angle_gamma 90.00
loop_
_space_group_symop_operation_xyz
'x,y,z'
'-x,-y,-z'
'-x,y,-z'
'x,-y,z'
loop_
_atom_site_label
_atom_site_type_symbol
_atom_site_fract_x
_atom_site_fract_y
_atom_site_fract_z
Ac1 Ac 0.000 0.000 0.000
Bi1 Bi 0.500 0.259 0.500
Mo1 Mo 0.000 0.500 0.000
O1 O 0.184 0.298 0.182
O2 O 0.262 0.500 0.736
O3 O 0.324 0.000 0.673
# VASP energy: -6.59 eV/atom